# 1
# GGA-PBE CeDy7Er3, relaxed
# Fermi-level density of states (states/eV per cell): 20.0
# Space group: P3m1, No. 156
# Relative energy among the computed polymorphs (meV per atom): 46.1
# Total moment (μB/f.u.): 1.0
# E_form (meV per atom): 208
data_CeDy7Er3
_chemical_formula_sum 'Ce1 Dy7 Er3'
_space_group_name_H-M_alt 'P 1'
_space_group_IT_number 1
_cell_length_a 8.5440
_cell_length_b 7.0068
_cell_length_c 7.0068
_cell_angle_alpha 120.00
_cell_angle_beta 90.00
_cell_angle_gamma 90.00
loop_
_space_group_symop_operation_xyz
'x,y,z'
loop_
_atom_site_label
_atom_site_type_symbol
_atom_site_fract_x
_atom_site_fract_y
_atom_site_fract_z
_atom_site_occupancy
Er1 Er 0.7819 0.4988 0.9975 1
Er2 Er 0.7819 0.0025 0.5012 1
Er3 Er 0.7819 0.4988 0.5012 1
Dy1 Dy 0.1178 0.1691 0.8309 1
Dy2 Dy 0.1166 0.6667 0.3333 1
Dy3 Dy 0.4504 0.8326 0.1674 1
Dy4 Dy 0.4504 0.3348 0.1674 1
Dy5 Dy 0.1178 0.6619 0.8309 1
Dy6 Dy 0.1178 0.1691 0.3381 1
Dy7 Dy 0.4504 0.8326 0.6652 1
Ce1 Ce 0.4483 0.3333 0.6667 1

# 2
# GGA-PBE CeDy2Er6, relaxed
# Fermi-level density of states (states/eV per cell): 33.1
# Space group: C2/c, No. 15
# Relative energy among the computed polymorphs (meV per atom): 0.0
# Total moment (μB/f.u.): 1.0
# E_form (meV per atom): 88
data_CeDy2Er6
_chemical_formula_sum 'Ce2 Dy4 Er12'
_space_group_name_H-M_alt 'P 1'
_space_group_IT_number 1
_cell_length_a 6.5125
_cell_length_b 6.5125
_cell_length_c 14.8044
_cell_angle_alpha 108.62
_cell_angle_beta 108.62
_cell_angle_gamma 94.38
loop_
_space_group_symop_operation_xyz
'x,y,z'
loop_
_atom_site_label
_atom_site_type_symbol
_atom_site_fract_x
_atom_site_fract_y
_atom_site_fract_z
_atom_site_occupancy
Er1 Er 0.3509 0.1874 0.0105 1
Er2 Er 0.6491 0.8126 0.9895 1
Er3 Er 0.8550 0.0216 0.8436 1
Er4 Er 0.8126 0.6491 0.4895 1
Er5 Er 0.4128 0.9148 0.5841 1
Er6 Er 0.1874 0.3509 0.5105 1
Er7 Er 0.5872 0.0852 0.4159 1
Er8 Er 0.0852 0.5872 0.9159 1
Er9 Er 0.9148 0.4128 0.0841 1
Er10 Er 0.1450 0.9784 0.1564 1
Er11 Er 0.0215 0.8550 0.3436 1
Er12 Er 0.9785 0.1450 0.6564 1
Dy1 Dy 0.6855 0.5228 0.6763 1
Dy2 Dy 0.4772 0.3145 0.8237 1
Dy3 Dy 0.3145 0.4772 0.3237 1
Dy4 Dy 0.5228 0.6855 0.1763 1
Ce1 Ce 0.7498 0.2502 0.2500 1
Ce2 Ce 0.2502 0.7498 0.7500 1

# 3
# GGA-PBE CeDy3Er4, relaxed
# Fermi-level density of states (states/eV per cell): 31.0
# Space group: Pmn2_1, No. 31
# Relative energy among the computed polymorphs (meV per atom): 0.0
# Total moment (μB/f.u.): 1.3
# E_form (meV per atom): 35
data_CeDy3Er4
_chemical_formula_sum 'Ce2 Dy6 Er8'
_space_group_name_H-M_alt 'P 1'
_space_group_IT_number 1
_cell_length_a 6.2092
_cell_length_b 7.1816
_cell_length_c 11.2314
_cell_angle_alpha 90.00
_cell_angle_beta 90.00
_cell_angle_gamma 90.00
loop_
_space_group_symop_operation_xyz
'x,y,z'
loop_
_atom_site_label
_atom_site_type_symbol
_atom_site_fract_x
_atom_site_fract_y
_atom_site_fract_z
_atom_site_occupancy
Er1 Er 0.6462 0.1240 0.5000 1
Er2 Er 0.9835 0.1258 0.7501 1
Er3 Er 0.1477 0.8744 0.5000 1
Er4 Er 0.4835 0.8742 0.7499 1
Er5 Er 0.4835 0.8742 0.2501 1
Er6 Er 0.6477 0.1256 0.0000 1
Er7 Er 0.9835 0.1258 0.2499 1
Er8 Er 0.1462 0.8760 0.0000 1
Dy1 Dy 0.4793 0.3748 0.2497 1
Dy2 Dy 0.6488 0.6239 0.0000 1
Dy3 Dy 0.9793 0.6252 0.2503 1
Dy4 Dy 0.1488 0.3761 0.5000 1
Dy5 Dy 0.4793 0.3748 0.7503 1
Dy6 Dy 0.9793 0.6252 0.7497 1
Ce1 Ce 0.1469 0.3763 0.0000 1
Ce2 Ce 0.6469 0.6237 0.5000 1